Record 1
DFT (PBE) results for a relaxed structure of NaPr2Cd6.

Unit cell a=6.439 b=6.507 c=6.507 alpha=60.01 beta=90.02 gamma=90.02
Positions (direct):
Cd 0.667 0.179 0.641
Cd 0.669 0.180 0.180
Cd 0.333 0.359 0.821
Pr 0.144 0.333 0.333
Cd 0.331 0.820 0.820
Na 0.000 0.000 0.000
Pr 0.856 0.667 0.667
Cd 0.667 0.641 0.179
Cd 0.333 0.821 0.359

ΔH_f (0 K) = -3.90 kcal/mol of atoms
magnetic moment = 0.00 μB/f.u.
Fermi-level density of states = 1.01 states/eV per atom
symmetry = C2/m
ΔE to the lowest computed polymorph = 93 meV per atom

***

Record 2
DFT (PBE) results for a relaxed structure of La4CuRe.

Unit cell a=6.148 b=6.148 c=6.148 alpha=60.00 beta=60.00 gamma=60.00
Positions (direct):
La 0.872 0.376 0.376
La 0.376 0.376 0.376
Re 0.750 0.750 0.750
Cu 0.000 0.000 0.000
La 0.376 0.872 0.376
La 0.376 0.376 0.872

ΔH_f (0 K) = 24.18 kcal/mol of atoms
magnetic moment = 0.00 μB/f.u.
Fermi-level density of states = 1.52 states/eV per atom
symmetry = F-43m

***

Record 3
DFT (PBE) results for a relaxed structure of TaP2Pb.

Unit cell a=3.302 b=3.299 c=7.635 alpha=65.99 beta=90.00 gamma=90.00
Positions (direct):
P 0.000 0.082 0.928
P 0.000 0.418 0.572
Pb 0.500 0.250 0.250
Ta 0.500 0.750 0.750

ΔH_f (0 K) = -4.74 kcal/mol of atoms
magnetic moment = 0.00 μB/f.u.
Fermi-level density of states = 0.67 states/eV per atom
symmetry = P2/m

***

Record 4
DFT (PBE) results for a relaxed structure of K2TaCuS5.

Unit cell a=3.598 b=10.207 c=12.906 alpha=90.00 beta=90.00 gamma=100.15
Positions (direct):
S 0.095 0.191 0.022
K 0.122 0.245 0.308
S 0.491 0.983 0.306
S 0.905 0.809 0.522
S 0.717 0.435 0.874
K 0.874 0.748 0.214
S 0.710 0.419 0.133
K 0.126 0.252 0.714
Ta 0.231 0.463 0.003
S 0.290 0.581 0.633
S 0.509 0.017 0.806
K 0.878 0.755 0.808
Cu 0.557 0.115 0.950
S 0.283 0.565 0.374
Cu 0.443 0.885 0.450
S 0.657 0.313 0.515
Ta 0.769 0.537 0.503
S 0.343 0.687 0.015

magnetic moment = 0.00 μB/f.u.
Fermi-level density of states = 0.22 states/eV per atom
symmetry = Cmc2_1
E_form (uncorrected) = -73.6 kJ/mol of atoms

***

Record 5
DFT (PBE) results for a relaxed structure of TiMnNb.

Unit cell a=3.062 b=6.862 c=5.288 alpha=97.32 beta=106.65 gamma=116.83
Positions (direct):
Ti 0.778 0.928 0.701
Mn 0.749 0.249 0.000
Mn 0.251 0.751 0.000
Ti 0.222 0.072 0.299
Nb 0.262 0.419 0.688
Nb 0.738 0.581 0.312

ΔH_f (0 K) = -2.91 kcal/mol of atoms
magnetic moment = 0.00 μB/f.u.
Fermi-level density of states = 1.09 states/eV per atom
symmetry = P-1
ΔE to the lowest computed polymorph = 0 meV per atom

***

Record 6
DFT (PBE) results for a relaxed structure of TlTePH.

Unit cell a=3.899 b=4.783 c=5.842 alpha=80.85 beta=89.88 gamma=89.74
Positions (direct):
P 0.073 0.749 0.493
Tl 0.571 0.235 0.175
Te 0.070 0.792 0.900
H 0.063 0.444 0.527

magnetic moment = 0.00 μB/f.u.
Fermi-level density of states = 0.40 states/eV per atom
symmetry = P1
ΔE to the lowest computed polymorph = 43 meV per atom

***

Record 7
DFT (PBE) results for a relaxed structure of LiMnTc4.

Unit cell a=5.105 b=5.105 c=5.105 alpha=60.00 beta=60.00 gamma=60.00
Positions (direct):
Li 0.750 0.750 0.750
Tc 0.875 0.375 0.375
Mn 0.000 0.000 0.000
Tc 0.375 0.375 0.875
Tc 0.375 0.375 0.375
Tc 0.375 0.875 0.375

ΔH_f (0 K) = 9.73 kcal/mol of atoms
magnetic moment = 2.82 μB/f.u.
Fermi-level density of states = 1.10 states/eV per atom
symmetry = F-43m

***

Record 8
DFT (PBE) results for a relaxed structure of K4InAu4.

Unit cell a=7.017 b=8.523 c=7.017 alpha=65.69 beta=90.00 gamma=114.31
Positions (direct):
In 0.000 0.000 0.000
K 0.147 0.718 0.429
K 0.429 0.282 0.571
K 0.571 0.718 0.853
Au 0.345 0.229 0.116
Au 0.655 0.771 0.345
Au 0.884 0.229 0.655
Au 0.116 0.771 0.884
K 0.853 0.282 0.147

ΔH_f (0 K) = -4.64 kcal/mol of atoms
magnetic moment = 0.00 μB/f.u.
Fermi-level density of states = 0.41 states/eV per atom
symmetry = I-42m

***

Record 9
DFT (PBE) results for a relaxed structure of YMn2Tc.

Unit cell a=9.312 b=9.312 c=9.312 alpha=18.36 beta=18.36 gamma=18.36
Positions (direct):
Y 0.750 0.750 0.750
Mn 0.988 0.988 0.988
Tc 0.250 0.250 0.250
Mn 0.512 0.512 0.512

ΔH_f (0 K) = 12.96 kcal/mol of atoms
magnetic moment = 5.99 μB/f.u.
Fermi-level density of states = 1.35 states/eV per atom
symmetry = R-3m
ΔE to the lowest computed polymorph = 370 meV per atom

***

Record 10
DFT (PBE) results for a relaxed structure of CeTaGa2.

Unit cell a=3.538 b=3.538 c=6.351 alpha=90.00 beta=90.00 gamma=90.00
Positions (direct):
Ga 0.000 0.000 0.798
Ta 0.500 0.500 0.000
Ce 0.500 0.500 0.500
Ga 0.000 0.000 0.202

ΔH_f (0 K) = -5.08 kcal/mol of atoms
magnetic moment = 0.58 μB/f.u.
Fermi-level density of states = 1.24 states/eV per atom
symmetry = P4/mmm
ΔE to the lowest computed polymorph = 0 meV per atom

***

Record 11
DFT (PBE) results for a relaxed structure of Pr2EuY.

Unit cell a=5.894 b=5.894 c=5.894 alpha=60.00 beta=60.00 gamma=60.00
Positions (direct):
Pr 0.250 0.250 0.250
Pr 0.750 0.750 0.750
Y 0.500 0.500 0.500
Eu 0.000 0.000 0.000

ΔH_f (0 K) = 2.76 kcal/mol of atoms
magnetic moment = 7.60 μB/f.u.
Fermi-level density of states = 1.59 states/eV per atom
symmetry = Fm-3m
ΔE to the lowest computed polymorph = 89 meV per atom

***

Record 12
DFT (PBE) results for a relaxed structure of Dy6AgC3.

Unit cell a=3.606 b=10.951 c=11.507 alpha=108.24 beta=90.00 gamma=90.00
Positions (direct):
Dy 0.750 0.756 0.669
Dy 0.750 0.355 0.861
Ag 0.250 0.372 0.112
Dy 0.250 0.244 0.331
C 0.750 0.739 0.286
Dy 0.750 0.135 0.049
C 0.750 0.960 0.856
Dy 0.250 0.462 0.618
Dy 0.750 0.945 0.236
C 0.250 0.040 0.144
C 0.750 0.348 0.469
Dy 0.250 0.821 0.435
Ag 0.750 0.628 0.888
Dy 0.250 0.865 0.951
Dy 0.250 0.645 0.139
C 0.250 0.652 0.531
Dy 0.750 0.179 0.565
C 0.250 0.261 0.714
Dy 0.250 0.055 0.764
Dy 0.750 0.538 0.382

ΔH_f (0 K) = -5.79 kcal/mol of atoms
magnetic moment = 0.02 μB/f.u.
Fermi-level density of states = 0.84 states/eV per atom
symmetry = P2_1/m